*a*
Computed, not measured: an optimized crystal structure of K at the GGA-PBE level of DFT.

a = 4.604 Å, b = 4.615 Å, c = 15.259 Å
α = 87.25°, β = 87.33°, γ = 62.66°
Element x y z (fractional)
K (0.000, 0.000, 0.000)
K (0.088, 0.073, 0.501)
K (0.390, 0.401, 0.751)
K (0.498, 0.484, 0.252)

**DOS at the Fermi energy**: 3.1 states/eV per cell
**Space-group type**: P1, No. 1

***

*b*
Computed, not measured: an optimized crystal structure of K at the GGA-PBE level of DFT.

a = 8.918 Å, b = 8.392 Å, c = 4.515 Å
α = 81.44°, β = 68.51°, γ = 30.05°
Element x y z (fractional)
K (0.131, 0.131, 0.869)
K (0.869, 0.869, 0.131)

**DOS at the Fermi energy**: 1.6 states/eV per cell
**Space-group type**: Fmmm, No. 69

***

*c*
Computed, not measured: an optimized crystal structure of K at the GGA-PBE level of DFT.

a = 19.810 Å, b = 19.810 Å, c = 19.810 Å
α = 109.47°, β = 109.47°, γ = 109.47°
Element x y z (fractional)
K (0.000, 0.000, 0.000)
K (0.000, 0.000, 0.377)
K (0.000, 0.000, 0.623)
K (0.000, 0.377, 0.000)
K (0.000, 0.623, 0.000)
K (0.024, 0.595, 0.242)
K (0.024, 0.782, 0.429)
K (0.055, 0.159, 0.896)
K (0.092, 0.592, 0.500)
K (0.104, 0.264, 0.159)
K (0.104, 0.945, 0.841)
K (0.120, 0.309, 0.428)
K (0.120, 0.691, 0.811)
K (0.156, 0.323, 0.833)
K (0.159, 0.104, 0.264)
K (0.159, 0.896, 0.055)
K (0.167, 0.489, 0.323)
K (0.167, 0.844, 0.677)
K (0.189, 0.880, 0.309)
K (0.201, 0.500, 0.701)
K (0.218, 0.242, 0.647)
K (0.218, 0.571, 0.976)
K (0.242, 0.024, 0.595)
K (0.242, 0.647, 0.218)
K (0.264, 0.159, 0.104)
K (0.299, 0.799, 0.500)
K (0.309, 0.189, 0.880)
K (0.309, 0.428, 0.120)
K (0.323, 0.167, 0.489)
K (0.323, 0.833, 0.156)
K (0.353, 0.595, 0.571)
K (0.353, 0.782, 0.758)
K (0.377, 0.000, 0.000)
K (0.377, 0.377, 0.377)
K (0.405, 0.429, 0.647)
K (0.405, 0.758, 0.976)
K (0.408, 0.500, 0.908)
K (0.428, 0.120, 0.309)
K (0.429, 0.024, 0.782)
K (0.429, 0.647, 0.405)
K (0.489, 0.323, 0.167)
K (0.500, 0.092, 0.592)
K (0.500, 0.299, 0.799)
K (0.500, 0.701, 0.201)
K (0.500, 0.908, 0.408)
K (0.511, 0.677, 0.833)
K (0.571, 0.353, 0.595)
K (0.571, 0.976, 0.218)
K (0.572, 0.880, 0.691)
K (0.592, 0.500, 0.092)
K (0.595, 0.242, 0.024)
K (0.595, 0.571, 0.353)
K (0.623, 0.000, 0.000)
K (0.623, 0.623, 0.623)
K (0.647, 0.218, 0.242)
K (0.647, 0.405, 0.429)
K (0.677, 0.167, 0.844)
K (0.677, 0.833, 0.511)
K (0.691, 0.572, 0.880)
K (0.691, 0.811, 0.120)
K (0.701, 0.201, 0.500)
K (0.736, 0.841, 0.896)
K (0.758, 0.353, 0.782)
K (0.758, 0.976, 0.405)
K (0.782, 0.429, 0.024)
K (0.782, 0.758, 0.353)
K (0.799, 0.500, 0.299)
K (0.811, 0.120, 0.691)
K (0.833, 0.156, 0.323)
K (0.833, 0.511, 0.677)
K (0.841, 0.104, 0.945)
K (0.841, 0.896, 0.736)
K (0.844, 0.677, 0.167)
K (0.880, 0.309, 0.189)
K (0.880, 0.691, 0.572)
K (0.896, 0.055, 0.159)
K (0.896, 0.736, 0.841)
K (0.908, 0.408, 0.500)
K (0.945, 0.841, 0.104)
K (0.976, 0.218, 0.571)
K (0.976, 0.405, 0.758)

**DOS at the Fermi energy**: 60.1 states/eV per cell
**Space-group type**: Im-3, No. 204

***

*d*
Computed, not measured: an optimized crystal structure of K at the GGA-PBE level of DFT.

a = 10.329 Å, b = 10.329 Å, c = 10.329 Å
α = 109.47°, β = 109.47°, γ = 109.47°
Element x y z (fractional)
K (0.250, 0.500, 0.750)
K (0.250, 0.750, 0.500)
K (0.500, 0.250, 0.750)
K (0.500, 0.750, 0.250)
K (0.750, 0.250, 0.500)
K (0.750, 0.500, 0.250)

**DOS at the Fermi energy**: 6.2 states/eV per cell
**Space-group type**: Im-3m, No. 229

***

Here are the energies relative to the best structure, in eV/atom: *a* 0.000; *b* 0.032; *c* 0.021; *d* 0.324.

***

*a*
Computed, not measured: an optimized crystal structure of K at the GGA-PBE level of DFT.

a = 4.676 Å, b = 4.676 Å, c = 7.607 Å
α = 90.00°, β = 90.00°, γ = 120.00°
Element x y z (fractional)
K (0.333, 0.667, 0.250)
K (0.667, 0.333, 0.750)

**DOS at the Fermi energy**: 1.7 states/eV per cell
**Space-group type**: P6_3/mmc, No. 194

***

*b*
Computed, not measured: an optimized crystal structure of K at the GGA-PBE level of DFT.

a = 6.694 Å, b = 6.694 Å, c = 6.694 Å
α = 60.00°, β = 60.00°, γ = 60.00°
Element x y z (fractional)
K (0.125, 0.125, 0.125)
K (0.875, 0.875, 0.875)

**DOS at the Fermi energy**: 1.4 states/eV per cell
**Space-group type**: Fd-3m, No. 227

***

Here are the energies relative to the best structure, in eV/atom: *a* 0.000; *b* 0.298.

***

*a*
Computed, not measured: an optimized crystal structure of K at the GGA-PBE level of DFT.

a = 11.840 Å, b = 11.840 Å, c = 11.840 Å
α = 92.00°, β = 92.00°, γ = 158.46°
Element x y z (fractional)
K (0.096, 0.356, 0.452)
K (0.101, 0.839, 0.940)
K (0.161, 0.101, 0.261)
K (0.356, 0.904, 0.260)
K (0.644, 0.096, 0.740)
K (0.839, 0.899, 0.739)
K (0.899, 0.161, 0.060)
K (0.904, 0.644, 0.548)

**DOS at the Fermi energy**: 5.7 states/eV per cell
**Space-group type**: I4/m, No. 87

***

*b*
Computed, not measured: an optimized crystal structure of K at the GGA-PBE level of DFT.

a = 13.993 Å, b = 13.993 Å, c = 13.993 Å
α = 109.47°, β = 109.47°, γ = 109.47°
Element x y z (fractional)
K (0.000, 0.000, 0.000)
K (0.000, 0.000, 0.640)
K (0.000, 0.190, 0.375)
K (0.000, 0.375, 0.190)
K (0.000, 0.406, 0.683)
K (0.000, 0.640, 0.000)
K (0.000, 0.683, 0.406)
K (0.185, 0.810, 0.810)
K (0.190, 0.000, 0.375)
K (0.190, 0.375, 0.000)
K (0.277, 0.594, 0.594)
K (0.317, 0.317, 0.723)
K (0.317, 0.723, 0.317)
K (0.360, 0.360, 0.360)
K (0.375, 0.000, 0.190)
K (0.375, 0.190, 0.000)
K (0.406, 0.000, 0.683)
K (0.406, 0.683, 0.000)
K (0.594, 0.277, 0.594)
K (0.594, 0.594, 0.277)
K (0.625, 0.625, 0.815)
K (0.625, 0.815, 0.625)
K (0.640, 0.000, 0.000)
K (0.683, 0.000, 0.406)
K (0.683, 0.406, 0.000)
K (0.723, 0.317, 0.317)
K (0.810, 0.185, 0.810)
K (0.810, 0.810, 0.185)
K (0.815, 0.625, 0.625)

**DOS at the Fermi energy**: 18.8 states/eV per cell
**Space-group type**: I-43m, No. 217

***

*c*
Computed, not measured: an optimized crystal structure of K at the GGA-PBE level of DFT.

a = 4.706 Å, b = 4.706 Å, c = 11.263 Å
α = 90.00°, β = 90.00°, γ = 120.00°
Element x y z (fractional)
K (0.000, 0.673, 0.167)
K (0.327, 0.327, 0.500)
K (0.673, 0.000, 0.833)

**DOS at the Fermi energy**: 2.3 states/eV per cell
**Space-group type**: P3_121, No. 152

***

*d*
Computed, not measured: an optimized crystal structure of K at the GGA-PBE level of DFT.

a = 11.560 Å, b = 4.504 Å, c = 11.428 Å
α = 90.00°, β = 90.00°, γ = 90.00°
Element x y z (fractional)
K (0.006, 0.250, 0.182)
K (0.182, 0.250, 0.521)
K (0.318, 0.750, 0.021)
K (0.494, 0.750, 0.682)
K (0.506, 0.250, 0.318)
K (0.682, 0.250, 0.979)
K (0.818, 0.750, 0.479)
K (0.994, 0.750, 0.818)

**DOS at the Fermi energy**: 6.3 states/eV per cell
**Space-group type**: Pnma, No. 62

***

Here are the energies relative to the best structure, in eV/atom: *a* 0.049; *b* 0.010; *c* 0.000; *d* 0.035.

***

*a*
Computed, not measured: an optimized crystal structure of K2La at the GGA-PBE level of DFT.

a = 7.320 Å, b = 12.345 Å, c = 3.490 Å
α = 90.00°, β = 90.00°, γ = 90.00°
Element x y z (fractional)
K (0.004, 0.170, 0.000)
K (0.496, 0.670, 0.500)
K (0.504, 0.330, 0.500)
K (0.996, 0.830, 0.000)
La (0.000, 0.500, 0.500)
La (0.500, 0.000, 0.000)

**DOS at the Fermi energy**: 8.7 states/eV per cell
**Space-group type**: Pnnm, No. 58

***

*b*
Computed, not measured: an optimized crystal structure of K2La at the GGA-PBE level of DFT.

a = 8.733 Å, b = 8.733 Å, c = 10.250 Å
α = 100.43°, β = 100.43°, γ = 25.38°
Element x y z (fractional)
K (0.117, 0.117, 0.019)
K (0.205, 0.205, 0.658)
K (0.795, 0.795, 0.342)
K (0.883, 0.883, 0.981)
La (0.477, 0.477, 0.629)
La (0.523, 0.523, 0.371)

**DOS at the Fermi energy**: 6.5 states/eV per cell
**Space-group type**: C2/m, No. 12

***

Here are the energies relative to the best structure, in eV/atom: *a* 0.134; *b* 0.000.